No. 1
# YErPbS, optimized geometry, DFT PBE-GGA
data_YErPbS
_symmetry_space_group_name_H-M 'P 1'
_symmetry_Int_Tables_number 1
_cell_length_a 3.7784
_cell_length_b 3.7800
_cell_length_c 8.3928
_cell_angle_alpha 77.08
_cell_angle_beta 77.07
_cell_angle_gamma 60.28
loop_
_symmetry_equiv_pos_as_xyz
'x,y,z'
loop_
_atom_site_label
_atom_site_type_symbol
_atom_site_fract_x
_atom_site_fract_y
_atom_site_fract_z
_atom_site_occupancy
Y1 Y 0.0000 0.0000 0.0000 1
Er1 Er 0.2026 0.2008 0.3923 1
Pb1 Pb 0.4369 0.4324 0.6957 1
S1 S 0.6007 0.5998 0.1976 1
# E_form (uncorrected) = -1212 meV/atom
# D(E_F) = 1.985 states/eV/cell

No. 2
# Er6SbPb3, optimized geometry, DFT PBE-GGA
data_Er6SbPb3
_symmetry_space_group_name_H-M 'P 1'
_symmetry_Int_Tables_number 1
_cell_length_a 11.9533
_cell_length_b 3.7736
_cell_length_c 13.3056
_cell_angle_alpha 90.00
_cell_angle_beta 98.53
_cell_angle_gamma 90.00
loop_
_symmetry_equiv_pos_as_xyz
'x,y,z'
loop_
_atom_site_label
_atom_site_type_symbol
_atom_site_fract_x
_atom_site_fract_y
_atom_site_fract_z
_atom_site_occupancy
Er1 Er 0.0231 0.2500 0.3442 1
Er2 Er 0.0630 0.2500 0.8853 1
Er3 Er 0.2705 0.7500 0.3170 1
Er4 Er 0.2708 0.7500 0.7501 1
Er5 Er 0.3891 0.2500 0.5349 1
Er6 Er 0.4264 0.7500 0.1193 1
Er7 Er 0.5736 0.2500 0.8807 1
Er8 Er 0.6109 0.7500 0.4651 1
Er9 Er 0.7292 0.2500 0.2499 1
Er10 Er 0.7295 0.2500 0.6830 1
Er11 Er 0.9370 0.7500 0.1147 1
Er12 Er 0.9769 0.7500 0.6558 1
Sb1 Sb 0.4755 0.2500 0.3093 1
Sb2 Sb 0.5245 0.7500 0.6907 1
Pb1 Pb 0.1637 0.2500 0.1308 1
Pb2 Pb 0.1674 0.7500 0.5187 1
Pb3 Pb 0.3293 0.2500 0.9373 1
Pb4 Pb 0.6707 0.7500 0.0627 1
Pb5 Pb 0.8326 0.2500 0.4813 1
Pb6 Pb 0.8363 0.7500 0.8692 1
# E_form (uncorrected) = -391 meV/atom
# D(E_F) = 17.655 states/eV/cell

No. 3
# Er6Sb5Pb, optimized geometry, DFT PBE-GGA
data_Er6Sb5Pb
_symmetry_space_group_name_H-M 'P 1'
_symmetry_Int_Tables_number 1
_cell_length_a 7.5627
_cell_length_b 7.5627
_cell_length_c 7.5539
_cell_angle_alpha 99.62
_cell_angle_beta 99.62
_cell_angle_gamma 120.08
loop_
_symmetry_equiv_pos_as_xyz
'x,y,z'
loop_
_atom_site_label
_atom_site_type_symbol
_atom_site_fract_x
_atom_site_fract_y
_atom_site_fract_z
_atom_site_occupancy
Er1 Er 0.0797 0.4166 0.7490 1
Er2 Er 0.2472 0.2472 0.2512 1
Er3 Er 0.4166 0.0797 0.7490 1
Er4 Er 0.5834 0.9203 0.2510 1
Er5 Er 0.7528 0.7528 0.7488 1
Er6 Er 0.9203 0.5834 0.2510 1
Sb1 Sb 0.0000 0.0000 0.5000 1
Sb2 Sb 0.1666 0.8334 0.0000 1
Sb3 Sb 0.3337 0.6663 0.5000 1
Sb4 Sb 0.6663 0.3337 0.5000 1
Sb5 Sb 0.8334 0.1666 0.0000 1
Pb1 Pb 0.5000 0.5000 0.0000 1
# E_form (uncorrected) = -952 meV/atom
# D(E_F) = 5.049 states/eV/cell

No. 4
# ErSb2Pb, optimized geometry, DFT PBE-GGA
data_ErSb2Pb
_symmetry_space_group_name_H-M 'P 1'
_symmetry_Int_Tables_number 1
_cell_length_a 4.1063
_cell_length_b 4.1063
_cell_length_c 6.6627
_cell_angle_alpha 90.00
_cell_angle_beta 90.00
_cell_angle_gamma 90.00
loop_
_symmetry_equiv_pos_as_xyz
'x,y,z'
loop_
_atom_site_label
_atom_site_type_symbol
_atom_site_fract_x
_atom_site_fract_y
_atom_site_fract_z
_atom_site_occupancy
Er1 Er 0.0000 0.0000 0.0000 1
Sb1 Sb 0.5000 0.5000 0.2272 1
Sb2 Sb 0.5000 0.5000 0.7728 1
Pb1 Pb 0.0000 0.0000 0.5000 1
# E_form (uncorrected) = -420 meV/atom
# relative energy among the computed polymorphs = 0 meV/atom
# D(E_F) = 3.094 states/eV/cell

No. 5
# Er3SbPb, optimized geometry, DFT PBE-GGA
data_Er3SbPb
_symmetry_space_group_name_H-M 'P 1'
_symmetry_Int_Tables_number 1
_cell_length_a 4.8790
_cell_length_b 8.2689
_cell_length_c 9.7436
_cell_angle_alpha 105.14
_cell_angle_beta 90.19
_cell_angle_gamma 107.00
loop_
_symmetry_equiv_pos_as_xyz
'x,y,z'
loop_
_atom_site_label
_atom_site_type_symbol
_atom_site_fract_x
_atom_site_fract_y
_atom_site_fract_z
_atom_site_occupancy
Er1 Er 0.0214 0.0410 0.1918 1
Er2 Er 0.1790 0.3548 0.5644 1
Er3 Er 0.3744 0.7476 0.9745 1
Er4 Er 0.6256 0.2524 0.0255 1
Er5 Er 0.8210 0.6452 0.4356 1
Er6 Er 0.9786 0.9590 0.8082 1
Sb1 Sb 0.1699 0.3437 0.8655 1
Sb2 Sb 0.8301 0.6563 0.1345 1
Pb1 Pb 0.3821 0.7666 0.6371 1
Pb2 Pb 0.6179 0.2334 0.3629 1
# E_form (uncorrected) = -285 meV/atom
# D(E_F) = 3.566 states/eV/cell

No. 6
# Er5Sb2Pb2, optimized geometry, DFT PBE-GGA
data_Er5Sb2Pb2
_symmetry_space_group_name_H-M 'P 1'
_symmetry_Int_Tables_number 1
_cell_length_a 8.6787
_cell_length_b 8.6787
_cell_length_c 8.1802
_cell_angle_alpha 90.00
_cell_angle_beta 90.00
_cell_angle_gamma 55.96
loop_
_symmetry_equiv_pos_as_xyz
'x,y,z'
loop_
_atom_site_label
_atom_site_type_symbol
_atom_site_fract_x
_atom_site_fract_y
_atom_site_fract_z
_atom_site_occupancy
Er1 Er 0.0000 0.0000 0.0000 1
Er2 Er 0.0264 0.6992 0.6608 1
Er3 Er 0.1992 0.5264 0.1608 1
Er4 Er 0.3008 0.9736 0.6608 1
Er5 Er 0.4736 0.8008 0.1608 1
Er6 Er 0.5000 0.5000 0.5000 1
Er7 Er 0.5264 0.1992 0.8392 1
Er8 Er 0.6992 0.0264 0.3392 1
Er9 Er 0.8008 0.4736 0.8392 1
Er10 Er 0.9736 0.3008 0.3392 1
Sb1 Sb 0.2015 0.2015 0.0000 1
Sb2 Sb 0.2985 0.2985 0.5000 1
Sb3 Sb 0.7015 0.7015 0.5000 1
Sb4 Sb 0.7985 0.7985 0.0000 1
Pb1 Pb 0.1416 0.8584 0.3585 1
Pb2 Pb 0.3584 0.6416 0.8585 1
Pb3 Pb 0.6416 0.3584 0.1415 1
Pb4 Pb 0.8584 0.1416 0.6415 1
# E_form (uncorrected) = -748 meV/atom
# D(E_F) = 14.065 states/eV/cell

No. 7
# ErSb2Pb, optimized geometry, DFT PBE-GGA
data_ErSb2Pb
_symmetry_space_group_name_H-M 'P 1'
_symmetry_Int_Tables_number 1
_cell_length_a 5.2382
_cell_length_b 5.2382
_cell_length_c 4.0587
_cell_angle_alpha 90.00
_cell_angle_beta 90.00
_cell_angle_gamma 90.00
loop_
_symmetry_equiv_pos_as_xyz
'x,y,z'
loop_
_atom_site_label
_atom_site_type_symbol
_atom_site_fract_x
_atom_site_fract_y
_atom_site_fract_z
_atom_site_occupancy
Er1 Er 0.0000 0.0000 0.0000 1
Sb1 Sb 0.0000 0.5000 0.5000 1
Sb2 Sb 0.5000 0.0000 0.5000 1
Pb1 Pb 0.5000 0.5000 0.0000 1
# E_form (uncorrected) = -363 meV/atom
# relative energy among the computed polymorphs = 58 meV/atom
# D(E_F) = 1.913 states/eV/cell

No. 8
# Er5Sb2Pb, optimized geometry, DFT PBE-GGA
data_Er5Sb2Pb
_symmetry_space_group_name_H-M 'P 1'
_symmetry_Int_Tables_number 1
_cell_length_a 6.4877
_cell_length_b 6.4877
_cell_length_c 14.1886
_cell_angle_alpha 90.00
_cell_angle_beta 90.00
_cell_angle_gamma 126.17
loop_
_symmetry_equiv_pos_as_xyz
'x,y,z'
loop_
_atom_site_label
_atom_site_type_symbol
_atom_site_fract_x
_atom_site_fract_y
_atom_site_fract_z
_atom_site_occupancy
Er1 Er 0.0730 0.9270 0.6014 1
Er2 Er 0.0730 0.9270 0.8986 1
Er3 Er 0.3780 0.6220 0.5501 1
Er4 Er 0.3780 0.6220 0.9499 1
Er5 Er 0.4015 0.5985 0.2500 1
Er6 Er 0.5985 0.4015 0.7500 1
Er7 Er 0.6220 0.3780 0.0501 1
Er8 Er 0.6220 0.3780 0.4499 1
Er9 Er 0.9270 0.0730 0.1014 1
Er10 Er 0.9270 0.0730 0.3986 1
Sb1 Sb 0.1957 0.8043 0.1053 1
Sb2 Sb 0.1957 0.8043 0.3947 1
Sb3 Sb 0.8043 0.1957 0.6053 1
Sb4 Sb 0.8043 0.1957 0.8947 1
Pb1 Pb 0.2819 0.7181 0.7500 1
Pb2 Pb 0.7181 0.2819 0.2500 1
# E_form (uncorrected) = -372 meV/atom
# D(E_F) = 16.472 states/eV/cell

No. 9
# Er6Sb3Pb, optimized geometry, DFT PBE-GGA
data_Er6Sb3Pb
_symmetry_space_group_name_H-M 'P 1'
_symmetry_Int_Tables_number 1
_cell_length_a 9.2025
_cell_length_b 9.2025
_cell_length_c 7.5017
_cell_angle_alpha 90.00
_cell_angle_beta 90.00
_cell_angle_gamma 106.02
loop_
_symmetry_equiv_pos_as_xyz
'x,y,z'
loop_
_atom_site_label
_atom_site_type_symbol
_atom_site_fract_x
_atom_site_fract_y
_atom_site_fract_z
_atom_site_occupancy
Er1 Er 0.0048 0.9952 0.5000 1
Er2 Er 0.0730 0.5207 0.0020 1
Er3 Er 0.2447 0.7553 0.3561 1
Er4 Er 0.2738 0.3839 0.3935 1
Er5 Er 0.3839 0.2738 0.8935 1
Er6 Er 0.4793 0.9270 0.0020 1
Er7 Er 0.5207 0.0730 0.5020 1
Er8 Er 0.6161 0.7262 0.3935 1
Er9 Er 0.7262 0.6161 0.8935 1
Er10 Er 0.7553 0.2447 0.8561 1
Er11 Er 0.9270 0.4793 0.5020 1
Er12 Er 0.9952 0.0048 0.0000 1
Sb1 Sb 0.0885 0.2806 0.7283 1
Sb2 Sb 0.2806 0.0885 0.2283 1
Sb3 Sb 0.4175 0.5825 0.0788 1
Sb4 Sb 0.5825 0.4175 0.5788 1
Sb5 Sb 0.7194 0.9115 0.7283 1
Sb6 Sb 0.9115 0.7194 0.2283 1
Pb1 Pb 0.1780 0.8220 0.7481 1
Pb2 Pb 0.8220 0.1780 0.2481 1
# E_form (uncorrected) = -637 meV/atom
# D(E_F) = 17.104 states/eV/cell

No. 10
# Er7Sb2Pb2, optimized geometry, DFT PBE-GGA
data_Er7Sb2Pb2
_symmetry_space_group_name_H-M 'P 1'
_symmetry_Int_Tables_number 1
_cell_length_a 7.0463
_cell_length_b 7.0463
_cell_length_c 7.1127
_cell_angle_alpha 90.00
_cell_angle_beta 90.00
_cell_angle_gamma 101.47
loop_
_symmetry_equiv_pos_as_xyz
'x,y,z'
loop_
_atom_site_label
_atom_site_type_symbol
_atom_site_fract_x
_atom_site_fract_y
_atom_site_fract_z
_atom_site_occupancy
Er1 Er 0.0000 0.0000 0.0000 1
Er2 Er 0.0000 0.5000 0.2717 1
Er3 Er 0.0000 0.5000 0.7283 1
Er4 Er 0.5000 0.0000 0.2717 1
Er5 Er 0.5000 0.0000 0.7283 1
Er6 Er 0.5000 0.5000 0.2616 1
Er7 Er 0.5000 0.5000 0.7384 1
Sb1 Sb 0.2775 0.7225 0.0000 1
Sb2 Sb 0.7225 0.2775 0.0000 1
Pb1 Pb 0.1858 0.1858 0.5000 1
Pb2 Pb 0.8142 0.8142 0.5000 1
# E_form (uncorrected) = -286 meV/atom
# D(E_F) = 14.554 states/eV/cell

E_tot for the records above, in order: -23.7, -93.1, -63.1, -18.2, -45.9, -90.4, -18.0, -75.5, -99.6, -50.7 eV/cell